Material: CsAlSb
Method: DFT, PBE
State: relaxed

```
CsAlSb
1.0
5.1542 0.0000 0.0000
0.0000 5.1542 0.0000
0.0000 0.0000 8.4379
Cs Al Sb
2 2 2
Cartesian
1.2885 1.2885 1.3802
3.8656 3.8656 7.0577
1.2885 3.8656 4.2190
3.8656 1.2885 4.2190
1.2885 1.2885 5.5200
3.8656 3.8656 2.9180
```

Energy relative to the lowest polymorph listed for this composition in meV/atom: 32

---

Material: CsAl3Sb3
Method: DFT, PBE
State: relaxed

```
CsAl3Sb3
1.0
3.9543 2.2830 9.3495
-3.9543 2.2830 9.3495
0.0000 -4.5661 9.3495
Cs Al Sb
2 6 6
Cartesian
0.0000 0.0000 4.6766
0.0000 0.0000 23.3718
-1.3299 -2.3098 10.3091
-2.6653 -0.0032 17.7393
-1.3354 2.3066 10.3092
1.3354 -2.3066 17.7393
2.6653 0.0032 10.3091
1.3299 2.3098 17.7393
-2.6023 0.0000 11.1658
-1.3012 -2.2536 16.8827
1.3011 -2.2537 11.1658
-1.3011 2.2537 16.8827
1.3012 2.2536 11.1658
2.6023 0.0000 16.8827
```

Energy relative to the lowest polymorph listed for this composition in meV/atom: 0

---

Material: CsAlSb
Method: DFT, PBE
State: relaxed

```
CsAlSb
1.0
4.5703 0.0000 0.0000
2.2842 5.9062 0.0000
2.2697 1.0419 8.1014
Cs Al Sb
2 2 2
Cartesian
1.1329 1.4610 1.2146
7.9914 5.4871 6.8868
3.4198 1.9063 4.3424
5.7044 5.0418 3.7590
3.4187 4.0443 2.4843
5.7056 2.9037 5.6172
```

Energy relative to the lowest polymorph listed for this composition in meV/atom: 0

---

Material: CsAl2Sb2
Method: DFT, PBE
State: relaxed

```
CsAl2Sb2
1.0
8.9736 0.0000 0.0000
0.0000 8.9736 0.0000
0.0000 0.0000 3.5783
Cs Al Sb
2 4 4
Cartesian
0.0000 0.0000 0.0000
4.4868 4.4868 0.0000
1.0699 3.4169 0.0000
3.4169 7.9037 0.0000
5.5567 1.0699 0.0000
7.9037 5.5567 0.0000
1.3199 5.8067 1.7891
3.1669 1.3199 1.7891
5.8067 7.6538 1.7891
7.6538 3.1669 1.7891
```

---

| no. | magnetization (μB/atom) | N(E_F) (states/eV/atom) | uncorrected formation energy (eV per atom) |
| --- | --- | --- | --- |
| 1 | 0.00 | 0.374 | -0.262 |
| 2 | 0.00 | 0.356 | -0.186 |
| 3 | 0.00 | 0.000 | -0.293 |
| 4 | 0.00 | 0.589 | 0.066 |